1.
Density functional theory data (meta-GGA SCAN) for a PBEsol-optimized structure of KRuBr3.

Results
* raw formation energy: -67 kJ per mole of atoms
* space group: Pm-3m
* final energy: -21.00 eV/atom
* density of states at the Fermi level: 1.0000 states/eV/atom

Cell lengths 5.0988, 5.0988, 5.0988 Å; angles 90.00, 90.00, 90.00 degrees
Last column: magnetic moment on the atom in μB.
Element x y z (fractional)
Br1 0.5000 0.0000 0.0000  0.01
Br2 0.0000 0.0000 0.5000  0.01
K1 0.5000 0.5000 0.5000  0.00
Ru1 0.0000 0.0000 0.0000  1.19
Br3 0.0000 0.5000 0.0000  0.01

=====

2.
Density functional theory data (meta-GGA SCAN) for a PBEsol-optimized structure of K2RuSBr.

Results
* raw formation energy: 5 kJ per mole of atoms
* space group: P4/mmm
* final energy: -16.06 eV/atom
* density of states at the Fermi level: 0.4095 states/eV/atom

Cell lengths 4.6957, 5.8957, 5.8957 Å; angles 90.00, 90.00, 90.00 degrees
Last column: magnetic moment on the atom in μB.
Element x y z (fractional)
K1 0.0000 0.5000 0.0000  0.00
K2 0.0000 0.0000 0.5000  0.00
S1 0.5000 0.5000 0.5000  0.30
Br1 0.0000 0.0000 0.0000  0.07
Ru1 0.5000 0.0000 0.0000  2.19

=====

3.
Density functional theory data (meta-GGA SCAN) for a PBEsol-optimized structure of KRuSeBr2.

Results
* raw formation energy: -58 kJ per mole of atoms
* space group: P4/mmm
* final energy: -21.03 eV/atom
* density of states at the Fermi level: 0.4885 states/eV/atom

Cell lengths 4.5976, 5.2906, 5.2906 Å; angles 90.00, 90.00, 90.00 degrees
Element x y z (fractional)
Se1 0.5000 0.0000 0.0000
Br1 0.0000 0.0000 0.5000
K1 0.5000 0.5000 0.5000
Ru1 0.0000 0.0000 0.0000
Br2 0.0000 0.5000 0.0000

=====

4.
Density functional theory data (meta-GGA SCAN) for a PBEsol-optimized structure of KSeSBr2.

Results
* raw formation energy: 52 kJ per mole of atoms
* space group: P4/mmm
* final energy: -14.86 eV/atom
* density of states at the Fermi level: 1.1070 states/eV/atom

Cell lengths 5.9550, 5.9550, 6.0243 Å; angles 90.00, 90.00, 90.00 degrees
Last column: magnetic moment on the atom in μB.
Element x y z (fractional)
K1 0.0000 0.0000 0.0000  0.00
Se1 0.0000 0.0000 0.5000  1.14
Br1 0.0000 0.5000 0.0000  0.33
Br2 0.5000 0.0000 0.0000  0.33
S1 0.5000 0.5000 0.5000  1.31

=====

5.
Density functional theory data (meta-GGA SCAN) for a PBEsol-optimized structure of K2Sb2Br.

Results
* raw formation energy: -89 kJ per mole of atoms
* space group: I4/mmm
* final energy: -23.05 eV/atom
* density of states at the Fermi level: 0.2704 states/eV/atom

Cell lengths 4.2196, 4.2196, 10.0222 Å; angles 102.15, 102.15, 90.00 degrees
Element x y z (fractional)
Sb1 0.7500 0.2500 0.5000
Br1 0.0000 0.0000 0.0000
K1 0.5951 0.5951 0.1903
K2 0.4049 0.4049 0.8097
Sb2 0.2500 0.7500 0.5000

=====

6.
Density functional theory data (meta-GGA SCAN) for a PBEsol-optimized structure of KSbSeBr2.

Results
* raw formation energy: 29 kJ per mole of atoms
* space group: P4/mmm
* final energy: -20.61 eV/atom
* density of states at the Fermi level: 0.5382 states/eV/atom

Cell lengths 5.5485, 5.5485, 5.7147 Å; angles 90.00, 90.00, 90.00 degrees
Last column: magnetic moment on the atom in μB.
Element x y z (fractional)
Br1 0.5000 0.0000 0.0000  0.03
Se1 0.0000 0.0000 0.5000  0.73
Br2 0.0000 0.5000 0.0000  0.03
K1 0.0000 0.0000 0.0000  0.03
Sb1 0.5000 0.5000 0.5000  -0.54

=====

7.
Density functional theory data (meta-GGA SCAN) for a PBEsol-optimized structure of KScBr2.

Results
* raw formation energy: -41 kJ per mole of atoms
* space group: F-43m
* final energy: -15.79 eV/atom
* density of states at the Fermi level: 0.6860 states/eV/atom
* offset from the most stable computed form: 701 meV per atom

Cell lengths 5.3892, 5.3892, 5.3892 Å; angles 60.00, 60.00, 60.00 degrees
Last column: magnetic moment on the atom in μB.
Element x y z (fractional)
Br1 0.7500 0.7500 0.7500  0.01
Br2 0.0000 0.0000 0.0000  -0.01
Sc1 0.2500 0.2500 0.2500  1.34
K1 0.5000 0.5000 0.5000  0.03

=====

8.
Density functional theory data (meta-GGA SCAN) for a PBEsol-optimized structure of KScBr2.

Results
* raw formation energy: -108 kJ per mole of atoms
* space group: Cmmm
* final energy: -16.49 eV/atom
* density of states at the Fermi level: 0.6658 states/eV/atom
* offset from the most stable computed form: 0 meV per atom

Cell lengths 3.6884, 3.8060, 9.1479 Å; angles 90.00, 90.00, 118.98 degrees
Last column: magnetic moment on the atom in μB.
Element x y z (fractional)
Br1 0.0000 0.0000 0.7746  0.01
K1 0.5000 0.0000 0.5000  0.01
Br2 0.0000 0.0000 0.2254  0.01
Sc1 0.5000 0.0000 0.0000  0.15

=====

9.
Density functional theory data (meta-GGA SCAN) for a PBEsol-optimized structure of K2ScTlBr6.

Results
* raw formation energy: -160 kJ per mole of atoms
* space group: Fm-3m
* final energy: -23.66 eV/atom
* density of states at the Fermi level: 0.0000 states/eV/atom

Cell lengths 8.0386, 8.0386, 8.0386 Å; angles 60.00, 60.00, 60.00 degrees
Element x y z (fractional)
Br1 0.7697 0.7697 0.2303
Br2 0.7697 0.2303 0.7697
K1 0.2500 0.2500 0.2500
Br3 0.2303 0.2303 0.7697
Br4 0.7697 0.2303 0.2303
Tl1 0.5000 0.5000 0.5000
Sc1 0.0000 0.0000 0.0000
K2 0.7500 0.7500 0.7500
Br5 0.2303 0.7697 0.7697
Br6 0.2303 0.7697 0.2303

=====

10.
Density functional theory data (meta-GGA SCAN) for a PBEsol-optimized structure of KSeBr2.

Results
* raw formation energy: -57 kJ per mole of atoms
* space group: P4mm
* final energy: -17.42 eV/atom
* density of states at the Fermi level: 0.5354 states/eV/atom
* offset from the most stable computed form: 0 meV per atom

Cell lengths 4.0505, 4.0505, 7.2798 Å; angles 90.00, 90.00, 90.00 degrees
Last column: magnetic moment on the atom in μB.
Element x y z (fractional)
Br1 0.5000 0.5000 0.3020  -0.13
Se1 0.5000 0.5000 0.8628  -0.18
K1 0.0000 0.0000 0.4501  0.00
Br2 0.0000 0.0000 0.8852  -0.01

=====

11.
Density functional theory data (meta-GGA SCAN) for a PBEsol-optimized structure of KSeBr2.

Results
* raw formation energy: -50 kJ per mole of atoms
* space group: Fm-3m
* final energy: -17.35 eV/atom
* density of states at the Fermi level: 0.0821 states/eV/atom
* offset from the most stable computed form: 67 meV per atom

Cell lengths 5.4260, 5.4260, 5.4260 Å; angles 60.00, 60.00, 60.00 degrees
Last column: magnetic moment on the atom in μB.
Element x y z (fractional)
Se1 0.0000 0.0000 0.0000  1.37
K1 0.5000 0.5000 0.5000  0.01
Br1 0.7500 0.7500 0.7500  0.34
Br2 0.2500 0.2500 0.2500  0.34

=====

12.
Density functional theory data (meta-GGA SCAN) for a PBEsol-optimized structure of K2SeBr.

Results
* raw formation energy: -123 kJ per mole of atoms
* space group: Amm2
* final energy: -15.32 eV/atom
* density of states at the Fermi level: 0.8408 states/eV/atom

Cell lengths 3.3282, 5.7371, 6.4157 Å; angles 90.00, 105.03, 90.00 degrees
Element x y z (fractional)
K1 0.2411 0.0000 0.4821
Br1 0.7463 0.5000 0.4926
K2 0.0096 0.5000 0.0192
Se1 0.5030 0.0000 0.0061

=====

13.
Density functional theory data (meta-GGA SCAN) for a PBEsol-optimized structure of KTiSeBr2.

Results
* raw formation energy: 9 kJ per mole of atoms
* space group: P4/mmm
* final energy: -16.58 eV/atom
* density of states at the Fermi level: 0.4243 states/eV/atom
* offset from the most stable computed form: 1483 meV per atom

Cell lengths 5.5536, 5.5536, 5.6140 Å; angles 90.00, 90.00, 90.00 degrees
Last column: magnetic moment on the atom in μB.
Element x y z (fractional)
Br1 0.5000 0.0000 0.0000  -0.06
Ti1 0.5000 0.5000 0.5000  1.93
K1 0.0000 0.0000 0.0000  -0.04
Se1 0.0000 0.0000 0.5000  -0.63
Br2 0.0000 0.5000 0.0000  -0.06

=====

14.
Density functional theory data (meta-GGA SCAN) for a PBEsol-optimized structure of KTiSeBr2.

Results
* raw formation energy: -135 kJ per mole of atoms
* space group: P4/mmm
* final energy: -18.07 eV/atom
* density of states at the Fermi level: 0.4003 states/eV/atom
* offset from the most stable computed form: 0 meV per atom

Cell lengths 4.9056, 5.2418, 5.2418 Å; angles 90.00, 90.00, 90.00 degrees
Last column: magnetic moment on the atom in μB.
Element x y z (fractional)
K1 0.5000 0.5000 0.5000  0.00
Br1 0.0000 0.0000 0.5000  0.00
Br2 0.0000 0.5000 0.0000  0.00
Se1 0.5000 0.0000 0.0000  -0.09
Ti1 0.0000 0.0000 0.0000  0.98

=====

15.
Density functional theory data (meta-GGA SCAN) for a PBEsol-optimized structure of KTiSe2Br.

Results
* raw formation energy: 49 kJ per mole of atoms
* space group: P4/mmm
* final energy: -16.28 eV/atom
* density of states at the Fermi level: 0.7103 states/eV/atom

Cell lengths 5.3909, 5.3909, 5.4803 Å; angles 90.00, 90.00, 90.00 degrees
Last column: magnetic moment on the atom in μB.
Element x y z (fractional)
Se1 0.5000 0.0000 0.0000  -0.62
Ti1 0.5000 0.5000 0.5000  1.90
K1 0.0000 0.0000 0.0000  -0.08
Se2 0.0000 0.5000 0.0000  -0.62
Br1 0.0000 0.0000 0.5000  -0.08

=====

16.
Density functional theory data (meta-GGA SCAN) for a PBEsol-optimized structure of KYSeBr2.

Results
* raw formation energy: -184 kJ per mole of atoms
* space group: P4/mmm
* final energy: -20.94 eV/atom
* density of states at the Fermi level: 0.0000 states/eV/atom

Cell lengths 5.4103, 5.5713, 5.5713 Å; angles 90.00, 90.00, 90.00 degrees
Element x y z (fractional)
Y1 0.0000 0.0000 0.0000
Br1 0.0000 0.5000 0.0000
Se1 0.5000 0.0000 0.0000
Br2 0.0000 0.0000 0.5000
K1 0.5000 0.5000 0.5000

=====

17.
Density functional theory data (meta-GGA SCAN) for a PBEsol-optimized structure of KSiBr2.

Results
* raw formation energy: -39 kJ per mole of atoms
* space group: I-4m2
* final energy: -14.72 eV/atom
* density of states at the Fermi level: 0.3149 states/eV/atom
* offset from the most stable computed form: 0 meV per atom

Cell lengths 4.2055, 4.2055, 7.1642 Å; angles 107.07, 107.07, 90.00 degrees
Last column: magnetic moment on the atom in μB.
Element x y z (fractional)
Br1 0.0000 0.0000 0.0000  0.04
Si1 0.2500 0.7500 0.5000  0.30
K1 0.5000 0.5000 0.0000  0.01
Br2 0.7500 0.2500 0.5000  0.00

=====

18.
Density functional theory data (meta-GGA SCAN) for a PBEsol-optimized structure of K4SiBr.

Results
* raw formation energy: 16 kJ per mole of atoms
* space group: F-43m
* final energy: -10.30 eV/atom
* density of states at the Fermi level: 0.7937 states/eV/atom

Cell lengths 6.8895, 6.8895, 6.8895 Å; angles 60.00, 60.00, 60.00 degrees
Last column: magnetic moment on the atom in μB.
Element x y z (fractional)
Br1 0.0000 0.0000 0.0000  0.03
K1 0.3748 0.3748 0.8755  -0.01
K2 0.3748 0.3748 0.3748  -0.01
K3 0.3748 0.8755 0.3748  -0.01
K4 0.8755 0.3748 0.3748  -0.01
Si1 0.7500 0.7500 0.7500  0.34

=====

19.
Density functional theory data (meta-GGA SCAN) for a PBEsol-optimized structure of KSiBr2.

Results
* raw formation energy: -31 kJ per mole of atoms
* space group: Fm-3m
* final energy: -14.64 eV/atom
* density of states at the Fermi level: 0.6084 states/eV/atom
* offset from the most stable computed form: 85 meV per atom

Cell lengths 5.2672, 5.2672, 5.2672 Å; angles 60.00, 60.00, 60.00 degrees
Element x y z (fractional)
K1 0.5000 0.5000 0.5000
Br1 0.2500 0.2500 0.2500
Si1 0.0000 0.0000 0.0000
Br2 0.7500 0.7500 0.7500

=====

20.
Density functional theory data (meta-GGA SCAN) for a PBEsol-optimized structure of K2SiBr.

Results
* raw formation energy: -38 kJ per mole of atoms
* space group: Fm-3m
* final energy: -11.93 eV/atom
* offset from the most stable computed form: 0 meV per atom

Cell lengths 5.7404, 5.7435, 5.7435 Å; angles 60.05, 60.02, 60.02 degrees
Last column: magnetic moment on the atom in μB.
Element x y z (fractional)
Br1 0.5000 0.0000 0.0000  0.11
K1 0.7501 0.2499 0.2499  0.04
K2 0.2499 0.7501 0.7501  0.04
Si1 0.0000 0.5000 0.5000  0.74